a) Material: CsTeW3
Method: DFT, PBE
State: relaxed

Summary:
Crystal system: cubic
DOS(E_F), states/eV/f.u.: 9.28
SG: Pm-3m, No. 221

Cell: 5.1153 5.1153 5.1153 Å, 90.00 90.00 90.00°
Element x y z (fractional)
Te1 0.0000 0.0000 0.0000
Cs1 0.5000 0.5000 0.5000
W1 0.0000 0.0000 0.5000
W2 0.0000 0.5000 0.0000
W3 0.5000 0.0000 0.0000



b) Material: CsTeW3
Method: DFT, PBE
State: relaxed

Summary:
Crystal system: cubic
DOS(E_F), states/eV/f.u.: 6.81
SG: Pm-3m, No. 221

Cell: 4.9948 4.9948 4.9948 Å, 90.00 90.00 90.00°
Element x y z (fractional)
Cs1 0.0000 0.0000 0.0000
W1 0.0000 0.5000 0.0000
W2 0.0000 0.0000 0.5000
W3 0.5000 0.0000 0.0000
Te1 0.5000 0.5000 0.5000



Here is how they stack up, most stable first: a), b).